1.
This record from the Open Quantum Materials Database describes an optimized crystal structure of Sm2Si2AgAu. The functional is PBE.

Unit cell a=4.419 b=4.419 c=7.660 alpha=90.00 beta=90.00 gamma=120.00
Element x y z (fractional)
Au  0.667  0.333  0.006
Sm  0.333  0.667  0.742
Sm  0.333  0.667  0.241
Si  0.667  0.333  0.462
Si  0.000  0.000  0.961
Ag  0.000  0.000  0.508

Properties
* electronic total energy: -5.08 eV per atom
* calculated volume: 21.59 A^3/atom
* space-group type: P3m1 (156)
* crystal system: trigonal
* calculated density: 8.48 Mg/m³

2.
This record from the Open Quantum Materials Database describes an optimized crystal structure of SmSi2AgAu. The functional is PBE.

Unit cell a=6.053 b=6.053 c=6.053 alpha=138.98 beta=138.98 gamma=59.40
Element x y z (fractional)
Si  0.390  0.390  0.000
Si  0.610  0.610  0.000
Au  0.250  0.750  0.500
Ag  0.750  0.250  0.500
Sm  0.000  0.000  0.000

Properties
* electronic total energy: -4.86 eV per atom
* calculated volume: 18.92 A^3/atom
* space-group type: I-4m2 (119)
* crystal system: tetragonal
* calculated density: 8.98 Mg/m³

3.
This record from the Open Quantum Materials Database describes an optimized crystal structure of SrSiAgAu. The functional is PBE.

Unit cell a=4.941 b=4.941 c=4.941 alpha=60.00 beta=60.00 gamma=60.00
Element x y z (fractional)
Si  0.000  0.000  0.000
Sr  0.250  0.250  0.250
Ag  0.500  0.500  0.500
Au  0.750  0.750  0.750

Properties
* calculated volume: 21.33 A^3/atom
* space-group type: F-43m (216)
* crystal system: cubic
* relative energy among the computed polymorphs: 41 meV/atom
* calculated density: 8.19 Mg/m³

4.
This record from the Open Quantum Materials Database describes an optimized crystal structure of SrSiAgAu. The functional is PBE.

Unit cell a=4.978 b=4.978 c=4.978 alpha=60.00 beta=60.00 gamma=60.00
Element x y z (fractional)
Sr  0.500  0.500  0.500
Ag  0.250  0.250  0.250
Si  0.000  0.000  0.000
Au  0.750  0.750  0.750

Properties
* calculated volume: 21.80 A^3/atom
* space-group type: F-43m (216)
* crystal system: cubic
* relative energy among the computed polymorphs: 0 meV/atom
* calculated density: 8.01 Mg/m³

5.
This record from the Open Quantum Materials Database describes an optimized crystal structure of SrSiAgAu. The functional is PBE.

Unit cell a=4.987 b=4.987 c=4.987 alpha=60.00 beta=60.00 gamma=60.00
Element x y z (fractional)
Sr  0.500  0.500  0.500
Si  0.250  0.250  0.250
Ag  0.000  0.000  0.000
Au  0.750  0.750  0.750

Properties
* calculated volume: 21.93 A^3/atom
* space-group type: F-43m (216)
* crystal system: cubic
* relative energy among the computed polymorphs: 50 meV/atom
* calculated density: 7.96 Mg/m³

6.
This record from the Open Quantum Materials Database describes an optimized crystal structure of Y2Si2AgAu. The functional is PBE.

Unit cell a=7.910 b=4.566 c=15.144 alpha=90.00 beta=100.01 gamma=90.00
Element x y z (fractional)
Ag  0.000  0.000  0.000
Ag  0.500  0.000  0.500
Ag  0.250  0.000  0.750
Ag  0.000  0.500  0.500
Si  0.063  0.500  0.687
Si  0.813  0.000  0.438
Si  0.813  0.500  0.937
Si  0.562  0.000  0.687
Si  0.313  0.500  0.438
Si  0.312  0.000  0.938
Si  0.062  0.000  0.188
Si  0.563  0.500  0.187
Au  0.750  0.000  0.250
Au  0.250  0.500  0.250
Au  0.750  0.500  0.750
Au  0.500  0.500  0.000
Y  0.438  0.000  0.313
Y  0.437  0.500  0.813
Y  0.938  0.000  0.813
Y  0.938  0.500  0.313
Y  0.187  0.000  0.562
Y  0.688  0.500  0.562
Y  0.688  0.000  0.062
Y  0.187  0.500  0.062

Properties
* electronic total energy: -5.48 eV per atom
* calculated volume: 22.44 A^3/atom
* space-group type: Pm (6)
* crystal system: monoclinic
* calculated density: 6.64 Mg/m³

What is the calculated density in the first record? 8.48 Mg/m³